(1)
## LiRhPb2 (meta-GGA SCAN)

Data for a PBEsol-optimized structure of LiRhPb2.

The structure in POSCAR format:
```
LiRhPb2
1.0
4.388 0.000 0.000
0.000 1.747 5.105
0.000 -1.747 5.105
Li Rh Pb
1 1 2
Direct
0.000 0.000 0.000
0.500 0.143 0.143
0.000 0.721 0.721
0.500 0.427 0.427
```

Properties
Total moment ... 0.000 μB/atom
E_form ... -0.14 eV per atom



(2)
## Li3RhPb (meta-GGA SCAN)

Data for a PBEsol-optimized structure of Li3RhPb.

The structure in POSCAR format:
```
Li3RhPb
1.0
4.544 0.000 0.000
0.000 4.544 0.000
0.000 0.000 4.544
Li Rh Pb
3 1 1
Direct
0.000 0.000 0.500
0.000 0.500 0.000
0.500 0.000 0.000
0.000 0.000 0.000
0.500 0.500 0.500
```

Properties
Total moment ... 0.000 μB/atom
E_form ... 0.16 eV per atom



(3)
## Li2RuPb (meta-GGA SCAN)

Data for a PBEsol-optimized structure of Li2RuPb.

The structure in POSCAR format:
```
Li2RuPb
1.0
3.886 0.000 0.000
0.000 3.886 0.000
0.000 0.000 4.185
Li Ru Pb
2 1 1
Direct
0.000 0.500 0.000
0.500 0.000 0.000
0.000 0.000 0.500
0.500 0.500 0.500
```

Properties
Total moment ... 0.000 μB/atom
E_form ... 0.02 eV per atom



(4)
## LiRu2Pb (meta-GGA SCAN)

Data for a PBEsol-optimized structure of LiRu2Pb.

The structure in POSCAR format:
```
LiRu2Pb
1.0
0.000 3.126 3.126
3.126 0.000 3.126
3.126 3.126 0.000
Li Ru Pb
1 2 1
Direct
0.000 0.000 0.000
0.500 0.500 0.500
0.750 0.750 0.750
0.250 0.250 0.250
```

Properties
Total moment ... 0.582 μB/atom
E_form ... 0.24 eV per atom



(5)
## LiRu2Pb (meta-GGA SCAN)

Data for a PBEsol-optimized structure of LiRu2Pb.

The structure in POSCAR format:
```
LiRu2Pb
1.0
2.905 0.000 0.000
0.000 2.905 0.000
0.000 0.000 8.157
Li Ru Pb
1 2 1
Direct
0.000 0.000 0.000
0.000 0.000 0.583
0.500 0.500 0.767
0.500 0.500 0.317
```

Properties
Total moment ... 0.000 μB/atom
E_form ... 0.26 eV per atom



(6)
## LiRu2Pb (meta-GGA SCAN)

Data for a PBEsol-optimized structure of LiRu2Pb.

The structure in POSCAR format:
```
LiRu2Pb
1.0
4.375 -1.452 0.000
4.375 1.452 0.000
-0.826 0.000 4.897
Li Ru Pb
1 2 1
Direct
0.000 0.000 0.000
0.250 0.250 0.788
0.750 0.750 0.212
0.500 0.500 0.500
```

Properties
Total moment ... 0.002 μB/atom
E_form ... 0.37 eV per atom



(7)
## Li2RuPb (meta-GGA SCAN)

Data for a PBEsol-optimized structure of Li2RuPb.

The structure in POSCAR format:
```
Li2RuPb
1.0
1.486 0.858 9.312
-1.486 0.858 9.312
0.000 -1.715 9.312
Li Ru Pb
2 1 1
Direct
0.240 0.240 0.240
0.760 0.760 0.760
0.500 0.500 0.500
0.000 0.000 0.000
```

Properties
Total moment ... 0.255 μB/atom
E_form ... 0.29 eV per atom



(8)
## LiRu2Pb (meta-GGA SCAN)

Data for a PBEsol-optimized structure of LiRu2Pb.

The structure in POSCAR format:
```
LiRu2Pb
1.0
2.913 0.000 0.000
0.000 3.655 0.000
0.000 0.000 5.875
Li Ru Pb
1 2 1
Direct
0.000 0.000 0.000
0.000 0.000 0.566
0.500 0.500 0.761
0.500 0.500 0.265
```

Properties
Total moment ... 0.000 μB/atom
E_form ... 0.28 eV per atom



(9)
## LiRu2Pb (meta-GGA SCAN)

Data for a PBEsol-optimized structure of LiRu2Pb.

The structure in POSCAR format:
```
LiRu2Pb
1.0
4.333 -1.476 0.000
4.333 1.476 0.000
-0.727 0.000 4.903
Li Ru Pb
1 2 1
Direct
0.000 0.000 0.000
0.494 0.494 0.446
0.753 0.753 0.266
0.244 0.244 0.762
```

Properties
Total moment ... 0.000 μB/atom
E_form ... 0.35 eV per atom



(10)
## Li2RuPb (meta-GGA SCAN)

Data for a PBEsol-optimized structure of Li2RuPb.

The structure in POSCAR format:
```
Li2RuPb
1.0
-1.934 1.934 4.257
1.934 -1.934 4.257
1.934 1.934 -4.257
Li Ru Pb
2 1 1
Direct
0.250 0.750 0.500
0.750 0.250 0.500
0.000 0.000 0.000
0.500 0.500 0.000
```

Properties
Total moment ... 0.001 μB/atom
E_form ... 0.04 eV per atom



(11)
## Li2RuPb (meta-GGA SCAN)

Data for a PBEsol-optimized structure of Li2RuPb.

The structure in POSCAR format:
```
Li2RuPb
1.0
2.701 -4.211 0.000
2.701 4.211 0.000
0.000 0.000 2.895
Li Ru Pb
2 1 1
Direct
0.000 0.500 0.000
0.500 0.000 0.000
0.000 0.000 0.500
0.500 0.500 0.500
```

Properties
Total moment ... 0.241 μB/atom
E_form ... 0.13 eV per atom



(12)
## Li2PbS (meta-GGA SCAN)

Data for a PBEsol-optimized structure of Li2PbS.

The structure in POSCAR format:
```
Li2PbS
1.0
0.000 3.331 3.331
3.331 0.000 3.331
3.331 3.331 0.000
Li Pb S
2 1 1
Direct
0.250 0.250 0.250
0.750 0.750 0.750
0.000 0.000 0.000
0.500 0.500 0.500
```

Properties
Total moment ... 0.000 μB/atom
E_form (uncorrected) ... -0.392 eV/atom



- The highest total moment belongs to which entry?
  number 4



- Among the records above, which one has the highest total moment?
  number 4



- Which formula does entry 10 have?
  Li2RuPb